{"formula": "BaBPb2C", "functional": "PBE", "state": "relaxed", "e_above_lowest_polymorph_mev_per_atom": 858.4, "ef_ev_per_atom": 1.388, "dft_energy_ev_per_atom": -3.6597, "magmom_total_mub_per_cell": 1.59, "cell": [[4.751, 0.000, 0.000], [0.000, 6.281, 0.000], [0.000, 0.000, 4.751]], "species": ["Ba", "Pb", "Pb", "B", "C"], "frac_coords": [[0.000, 0.500, 0.000], [0.500, 0.000, 0.000], [0.000, 0.000, 0.500], [0.000, 0.000, 0.000], [0.500, 0.500, 0.500]]}

***

{"formula": "Ba2BCSe", "functional": "PBE", "state": "relaxed", "formation_energy_uncorrected_ev_per_fu": 4.1, "dft_energy_ev_per_atom": -3.8265, "magmom_total_mub_per_cell": 1.75, "cell": [[-4.575, 3.478, 0.008], [-0.315, -0.423, 4.094], [3.450, 4.537, 0.734]], "species": ["B", "Ba", "Ba", "Se", "C"], "frac_coords": [[0.000, 0.000, 0.000], [0.000, 0.000, 0.500], [0.500, 0.000, 0.000], [0.000, 0.500, 0.000], [0.500, 0.500, 0.500]]}

***

{"formula": "BaYB6C6", "functional": "PBE", "state": "relaxed", "ef_ev_per_atom": 0.129, "dft_energy_ev_per_atom": -7.2850, "magmom_total_mub_per_cell": 0.00, "cell": [[4.926, 0.000, 0.000], [0.000, 4.926, 0.000], [0.000, 0.000, 4.926]], "species": ["C", "C", "C", "C", "C", "C", "Y", "B", "B", "B", "B", "B", "B", "Ba"], "frac_coords": [[0.500, 0.000, 0.759], [0.241, 0.500, 0.000], [0.000, 0.759, 0.500], [0.759, 0.500, 0.000], [0.500, 0.000, 0.241], [0.000, 0.241, 0.500], [0.000, 0.000, 0.000], [0.500, 0.755, 0.000], [0.500, 0.245, 0.000], [0.000, 0.500, 0.755], [0.755, 0.000, 0.500], [0.245, 0.000, 0.500], [0.000, 0.500, 0.245], [0.500, 0.500, 0.500]]}

***

{"formula": "BaCa2B", "functional": "PBE", "state": "relaxed", "ef_ev_per_atom": 0.577, "dft_energy_ev_per_atom": -2.5735, "magmom_total_mub_per_cell": 0.00, "cell": [[-0.112, 3.072, -7.434], [-1.278, -7.347, -3.017], [-6.296, -1.334, -4.809]], "species": ["Ca", "Ca", "Ca", "Ca", "B", "B", "Ba", "Ba"], "frac_coords": [[0.371, 0.125, 0.250], [0.379, 0.625, 0.250], [0.375, 0.629, 0.750], [0.875, 0.621, 0.750], [0.250, 0.750, 0.500], [0.500, 0.500, 0.000], [0.750, 0.250, 0.500], [0.000, 0.000, 0.000]]}

***

{"formula": "BaCa3B", "functional": "PBE", "state": "relaxed", "e_above_lowest_polymorph_mev_per_atom": 0.0, "ef_ev_per_atom": 0.253, "dft_energy_ev_per_atom": -2.6676, "magmom_total_mub_per_cell": 0.00, "cell": [[5.606, 0.000, 0.000], [0.000, 5.606, 0.000], [0.000, 0.000, 5.606]], "species": ["Ca", "Ca", "Ca", "B", "Ba"], "frac_coords": [[0.000, 0.000, 0.500], [0.000, 0.500, 0.000], [0.500, 0.000, 0.000], [0.000, 0.000, 0.000], [0.500, 0.500, 0.500]]}

***

{"formula": "BaCa3B", "functional": "PBE", "state": "relaxed", "e_above_lowest_polymorph_mev_per_atom": 1643.1, "ef_ev_per_atom": 1.896, "dft_energy_ev_per_atom": -1.0245, "magmom_total_mub_per_cell": 3.00, "cell": [[6.252, 0.000, 0.000], [0.000, 6.252, 0.000], [0.000, 0.000, 6.252]], "species": ["Ca", "Ca", "Ca", "Ba", "B"], "frac_coords": [[0.000, 0.500, 0.000], [0.000, 0.000, 0.500], [0.500, 0.000, 0.000], [0.000, 0.000, 0.000], [0.500, 0.500, 0.500]]}

***

{"formula": "Ba3CaB", "functional": "PBE", "state": "relaxed", "e_above_lowest_polymorph_mev_per_atom": 0.0, "ef_ev_per_atom": 0.408, "dft_energy_ev_per_atom": -2.4815, "magmom_total_mub_per_cell": 1.72, "cell": [[6.173, 0.000, 0.000], [0.000, 6.173, 0.000], [0.000, 0.000, 6.173]], "species": ["Ba", "Ba", "Ba", "B", "Ca"], "frac_coords": [[0.500, 0.000, 0.000], [0.000, 0.500, 0.000], [0.000, 0.000, 0.500], [0.000, 0.000, 0.000], [0.500, 0.500, 0.500]]}

***

{"formula": "Ba2CaB", "functional": "PBE", "state": "relaxed", "ef_ev_per_atom": 0.518, "dft_energy_ev_per_atom": -2.6128, "magmom_total_mub_per_cell": 0.00, "cell": [[-1.041, -3.712, -10.740], [-7.841, -7.572, 3.376], [-6.374, -3.834, -4.119]], "species": ["Ba", "Ba", "Ba", "Ba", "Ca", "Ca", "B", "B"], "frac_coords": [[0.875, 0.713, 0.750], [0.375, 0.537, 0.750], [0.463, 0.125, 0.250], [0.287, 0.625, 0.250], [0.000, 0.000, 0.000], [0.750, 0.250, 0.500], [0.500, 0.500, 0.000], [0.250, 0.750, 0.500]]}

***

{"formula": "BaCa2CoB", "functional": "PBE", "state": "relaxed", "ef_ev_per_atom": 0.444, "dft_energy_ev_per_atom": -3.4981, "magmom_total_mub_per_cell": 0.00, "cell": [[-3.694, -3.286, 2.218], [2.390, -3.289, -0.892], [2.456, 0.482, 4.806]], "species": ["B", "Ca", "Ca", "Co", "Ba"], "frac_coords": [[0.000, 0.500, 0.000], [0.500, 0.000, 0.000], [0.000, 0.000, 0.500], [0.000, 0.000, 0.000], [0.500, 0.500, 0.500]]}

***

{"formula": "BaCaBO3F", "functional": "PBE", "state": "relaxed", "formation_energy_uncorrected_ev_per_fu": -21.6, "dft_energy_ev_per_atom": -6.9952, "magmom_total_mub_per_cell": 0.00, "cell": [[4.480, 0.001, 0.007], [-0.113, 8.869, -0.006], [0.034, -4.393, 8.035]], "species": ["F", "F", "F", "Ba", "Ba", "Ba", "B", "B", "B", "O", "O", "O", "O", "O", "O", "O", "O", "O", "Ca", "Ca", "Ca"], "frac_coords": [[0.528, 0.008, 0.392], [0.470, 0.399, 0.006], [0.526, 0.619, 0.616], [0.523, 0.286, 0.304], [0.526, 0.983, 0.701], [0.454, 0.709, 0.002], [0.005, 0.002, 0.003], [0.008, 0.657, 0.328], [0.010, 0.330, 0.676], [0.018, 0.186, 0.701], [0.112, 0.017, 0.151], [0.015, 0.489, 0.305], [0.996, 0.495, 0.812], [0.994, 0.687, 0.193], [0.015, 0.308, 0.515], [0.803, 0.120, 0.004], [0.101, 0.867, 0.853], [0.015, 0.796, 0.490], [0.969, 0.376, 0.003], [0.024, 0.610, 0.614], [0.026, 0.999, 0.391]]}

***

{"formula": "BaCaBH2", "functional": "PBE", "state": "relaxed", "dft_energy_ev_per_atom": -2.8514, "magmom_total_mub_per_cell": 1.98, "cell": [[4.263, 0.000, 0.000], [0.000, 11.481, 0.000], [0.000, 0.000, 4.263]], "species": ["B", "Ca", "H", "H", "Ba"], "frac_coords": [[0.500, 0.500, 0.500], [0.000, 0.000, 0.000], [0.500, 0.000, 0.000], [0.000, 0.000, 0.500], [0.000, 0.500, 0.000]]}

***

{"formula": "BaCaB2I", "functional": "PBE", "state": "relaxed", "formation_energy_uncorrected_ev_per_fu": 8.2, "dft_energy_ev_per_atom": -2.1356, "magmom_total_mub_per_cell": 2.41, "cell": [[-1.626, -4.878, 0.383], [5.060, -1.199, 6.204], [-3.682, 1.485, 3.290]], "species": ["I", "Ca", "B", "B", "Ba"], "frac_coords": [[0.500, 0.500, 0.500], [0.000, 0.500, 0.000], [0.000, 0.000, 0.500], [0.500, 0.000, 0.000], [0.000, 0.000, 0.000]]}